5
Lattice="3.052 0.000 0.000 -0.055 4.831 0.000 -1.496 -1.557 6.564" Properties=species:S:1:pos:R:3 comment="MnTlCrTcF (PBE with a Hubbard U, optimized geometry)" dft_energy_ev_per_atom=-6.04 relative_energy_mev_per_atom=0 pbc="T T T"
Mn 0.000 0.000 0.000
Tl -0.024 2.674 2.258
Cr 0.009 0.371 4.418
Tc 1.528 0.269 2.246
F -0.020 2.017 5.585